Entry from Alexandria via LeMat-Bulk: crystalline Na2AlMoO6 at its relaxed geometry (GGA+U).

a = 5.4047 Å, b = 5.4047 Å, c = 13.2383 Å
α = 90.00°, β = 90.00°, γ = 120.00°
Space group R-3 (No. 148, hexagonal axes)
Inequivalent atoms, fractional coordinates:
1 Na 0.0000 0.0000 0.2500 (multiplicity 6)
2 Al 0.0000 0.0000 0.0000 (multiplicity 3)
3 Mo 0.0000 0.0000 0.5000 (multiplicity 3)
4 O 0.0033 0.5005 0.7491 (multiplicity 18)

Final energy: -6.21 eV per atom
Calculated volume: 334.89 Å³/cell